(1)
! KF3 (PBE, optimized geometry); values from VASP
! - Formation energy without anion corrections: -5.4 eV/f.u.
&SYSTEM
  ibrav = 0, nat = 8, ntyp = 2
/
ATOMIC_SPECIES
K 39.10 K.upf
F 19.00 F.upf
ATOMIC_POSITIONS angstrom
K 1.2943 1.9241 3.1278
K 3.8829 3.5802 0.8169
F 1.2943 4.1231 0.0594
F 3.8829 1.3812 3.8853
F 1.2943 4.4962 1.9837
F 3.8829 1.0081 1.9610
F 3.8829 3.3234 3.6203
F 1.2943 2.1809 0.3244
CELL_PARAMETERS angstrom
5.1772 0.0000 0.0000
0.0000 5.2660 -1.5354
0.0000 0.2383 5.4801

(2)
! Pr2P4PdRh3 (PBE, optimized geometry); values from VASP
! - Formation energy: -10.645 eV per formula unit
&SYSTEM
  ibrav = 0, nat = 10, ntyp = 4
/
ATOMIC_SPECIES
Pr 140.91 Pr.upf
P 30.97 P.upf
Pd 106.42 Pd.upf
Rh 102.91 Rh.upf
ATOMIC_POSITIONS angstrom
Pr 2.1183 0.0000 2.3114
Pr 0.0000 2.1183 7.2288
P 2.1183 2.1183 0.0000
P 0.0000 0.0000 0.0000
P 2.1183 0.0000 6.0949
P 0.0000 2.1183 3.4453
Pd 2.1183 2.1183 4.7701
Rh 0.0000 0.0000 4.7701
Rh 2.1183 0.0000 8.4946
Rh 0.0000 2.1183 1.0455
CELL_PARAMETERS angstrom
4.2367 0.0000 0.0000
0.0000 4.2367 0.0000
0.0000 0.0000 9.5401